<i>
VASP calculation (PBE-GGA) on crystalline PuUSe4 at its relaxed geometry.

Structure (POSCAR):
```
PuUSe4
1.0
6.7787 0.0000 0.0000
0.0000 6.7787 0.0000
-0.0109 0.0000 6.8053
Pu U Se
2 2 8
Direct
0.0000 0.0000 0.0000
0.5000 0.5000 0.0000
0.0000 0.5000 0.5000
0.5000 0.0000 0.5000
0.2501 0.2502 0.2554
0.2499 0.2498 0.7446
0.2501 0.7498 0.2554
0.2499 0.7502 0.7446
0.7501 0.2498 0.2554
0.7499 0.2502 0.7446
0.7501 0.7502 0.2554
0.7499 0.7498 0.7446
```

Properties
* magnetization: 6.0 μB per formula unit
* crystal system: monoclinic



<ii>
VASP calculation (PBE-GGA) on crystalline PuUSe4 at its relaxed geometry.

Structure (POSCAR):
```
PuUSe4
1.0
6.4542 0.0000 0.0000
0.0000 6.4542 0.0000
0.0000 0.0000 7.2931
Pu U Se
2 2 8
Direct
0.0000 0.0000 0.0000
0.5000 0.5000 0.0000
0.0000 0.0000 0.5000
0.5000 0.5000 0.5000
0.2039 0.2961 0.2576
0.2039 0.2961 0.7424
0.2961 0.7961 0.2576
0.2961 0.7961 0.7424
0.7039 0.2039 0.2576
0.7039 0.2039 0.7424
0.7961 0.7039 0.2576
0.7961 0.7039 0.7424
```

Properties
* magnetization: 3.3 μB per formula unit
* crystal system: tetragonal



Stability, descending: <i>, <ii>



<i>
VASP calculation (PBE-GGA) on crystalline Y2PuSe4 at its relaxed geometry.

Structure (POSCAR):
```
Y2PuSe4
1.0
-4.1139 4.1558 5.7584
4.1139 -4.1558 5.7584
4.1139 4.1558 -5.7584
Y Pu Se
4 2 8
Direct
0.0000 0.0000 0.0000
0.5000 0.0000 0.0000
0.5000 0.0000 0.5000
0.5000 0.5000 0.5000
0.0000 0.5000 0.5000
0.5000 0.5000 0.0000
0.2474 0.2443 0.4968
0.2474 0.7506 0.0032
0.2553 0.2470 0.0082
0.2612 0.7530 0.5082
0.7388 0.2470 0.4918
0.7447 0.7530 0.9918
0.7526 0.2494 0.9968
0.7526 0.7557 0.5032
```

Properties
* magnetization: 5.8 μB per formula unit
* crystal system: orthorhombic



<ii>
VASP calculation (PBE-GGA) on crystalline Y2PuSe4 at its relaxed geometry.

Structure (POSCAR):
```
Y2PuSe4
1.0
2.0246 -6.7242 0.0000
2.0246 6.7242 0.0000
0.0000 0.0000 13.8089
Y Pu Se
4 2 8
Direct
0.1333 0.8667 0.5678
0.1333 0.8667 0.9322
0.8667 0.1333 0.0678
0.8667 0.1333 0.4322
0.3812 0.6188 0.7500
0.6188 0.3812 0.2500
0.0397 0.9603 0.7500
0.2260 0.7740 0.1219
0.2260 0.7740 0.3781
0.5000 0.5000 0.0000
0.5000 0.5000 0.5000
0.7740 0.2260 0.6219
0.7740 0.2260 0.8781
0.9603 0.0397 0.2500
```

Properties
* magnetization: 5.7 μB per formula unit
* crystal system: orthorhombic



Stability, descending: <i>, <ii>



<i>
VASP calculation (PBE-GGA) on crystalline PuZrSe2 at its relaxed geometry.

Structure (POSCAR):
```
PuZrSe2
1.0
3.7960 0.0000 0.0000
-1.8980 3.2874 0.0000
0.0000 0.0000 21.8832
Pu Zr Se
3 3 6
Direct
0.0000 0.0000 0.0000
0.3333 0.6667 0.6667
0.6667 0.3333 0.3333
0.0000 0.0000 0.1723
0.3333 0.6667 0.8389
0.6667 0.3333 0.5056
0.0000 0.0000 0.4259
0.0000 0.0000 0.5808
0.3333 0.6667 0.0926
0.3333 0.6667 0.2475
0.6667 0.3333 0.7593
0.6667 0.3333 0.9142
```

Properties
* magnetization: 6.0 μB per formula unit
* crystal system: trigonal



<ii>
VASP calculation (PBE-GGA) on crystalline PuZrSe2 at its relaxed geometry.

Structure (POSCAR):
```
PuZrSe2
1.0
3.9090 0.0000 0.0000
-1.9545 3.3853 0.0000
0.0000 0.0000 26.1966
Pu Zr Se
3 3 6
Direct
0.0000 0.0000 0.0000
0.3333 0.6667 0.6667
0.6667 0.3333 0.3333
0.0000 0.0000 0.5000
0.3333 0.6667 0.1667
0.6667 0.3333 0.8333
0.0000 0.0000 0.4007
0.0000 0.0000 0.5993
0.3333 0.6667 0.0674
0.3333 0.6667 0.2660
0.6667 0.3333 0.7340
0.6667 0.3333 0.9326
```

Properties
* magnetization: 6.0 μB per formula unit
* crystal system: trigonal



<iii>
VASP calculation (PBE-GGA) on crystalline PuZrSe2 at its relaxed geometry.

Structure (POSCAR):
```
PuZrSe2
1.0
3.9211 0.0000 0.0000
-1.9606 3.3958 0.0000
0.0000 0.0000 13.6176
Pu Zr Se
2 2 4
Direct
0.3333 0.6667 0.2500
0.6667 0.3333 0.7500
0.0000 0.0000 0.0000
0.0000 0.0000 0.5000
0.3333 0.6667 0.6157
0.3333 0.6667 0.8843
0.6667 0.3333 0.1157
0.6667 0.3333 0.3843
```

Properties
* magnetization: 5.6 μB per formula unit
* crystal system: hexagonal



Stability, descending: <i>, <iii>, <ii>



<i>
VASP calculation (PBE-GGA) on crystalline Pu3Si at its relaxed geometry.

Structure (POSCAR):
```
Pu3Si
1.0
4.5035 0.0000 0.0000
0.0000 4.5035 0.0000
0.0000 0.0000 4.5035
Pu Si
3 1
Direct
0.0000 0.0000 0.5000
0.0000 0.5000 0.0000
0.5000 0.0000 0.0000
0.5000 0.5000 0.5000
```

Properties
* magnetization: 17.0 μB per formula unit
* crystal system: cubic



<ii>
VASP calculation (PBE-GGA) on crystalline Pu3Si at its relaxed geometry.

Structure (POSCAR):
```
Pu3Si
1.0
4.3197 0.0000 0.0000
0.0000 4.3197 0.0000
0.0000 0.0000 8.5392
Pu Si
6 2
Direct
0.0000 0.0000 0.0000
0.0000 0.5000 0.2500
0.0000 0.5000 0.7500
0.5000 0.0000 0.2500
0.5000 0.0000 0.7500
0.5000 0.5000 0.5000
0.0000 0.0000 0.5000
0.5000 0.5000 0.0000
```

Properties
* magnetization: 5.0 μB per formula unit
* crystal system: tetragonal



<iii>
VASP calculation (PBE-GGA) on crystalline Pu3Si at its relaxed geometry.

Structure (POSCAR):
```
Pu3Si
1.0
2.3732 0.0000 0.0000
0.0000 9.8302 0.0000
0.0000 0.0000 5.6601
Pu Si
6 2
Direct
0.0000 0.0000 0.0000
0.0000 0.2363 0.2715
0.0000 0.7637 0.2715
0.5000 0.2637 0.7715
0.5000 0.5000 0.5000
0.5000 0.7363 0.7715
0.0000 0.5000 0.0039
0.5000 0.0000 0.5039
```

Properties
* magnetization: 0.0 μB per formula unit
* crystal system: orthorhombic



<iv>
VASP calculation (PBE-GGA) on crystalline Pu3Si at its relaxed geometry.

Structure (POSCAR):
```
Pu3Si
1.0
6.7739 0.0000 0.0000
0.0000 6.7739 0.0000
0.0000 0.0000 6.7739
Pu Si
12 4
Direct
0.0000 0.0000 0.0000
0.0000 0.5000 0.5000
0.2500 0.2500 0.2500
0.2500 0.2500 0.7500
0.2500 0.7500 0.2500
0.2500 0.7500 0.7500
0.5000 0.0000 0.5000
0.5000 0.5000 0.0000
0.7500 0.2500 0.2500
0.7500 0.2500 0.7500
0.7500 0.7500 0.2500
0.7500 0.7500 0.7500
0.0000 0.0000 0.5000
0.0000 0.5000 0.0000
0.5000 0.0000 0.0000
0.5000 0.5000 0.5000
```

Properties
* magnetization: 5.8 μB per formula unit
* crystal system: cubic



Stability, descending: <ii>, <i>, <iv>, <iii>



<i>
VASP calculation (PBE-GGA) on crystalline SmPuSi4 at its relaxed geometry.

Structure (POSCAR):
```
SmPuSi4
1.0
4.0066 0.0000 0.0000
0.0000 4.0247 0.0000
0.0000 0.0000 7.1349
Sm Pu Si
1 1 4
Direct
0.0000 0.0000 0.0000
0.0000 0.5000 0.5000
0.5000 0.0000 0.3368
0.5000 0.0000 0.6632
0.5000 0.5000 0.1675
0.5000 0.5000 0.8325
```

Properties
* magnetization: 5.4 μB per formula unit
* crystal system: orthorhombic



<ii>
VASP calculation (PBE-GGA) on crystalline SmPuSi4 at its relaxed geometry.

Structure (POSCAR):
```
SmPuSi4
1.0
0.0000 3.7718 3.7718
3.7718 0.0000 3.7718
3.7718 3.7718 0.0000
Sm Pu Si
1 1 4
Direct
0.0000 0.0000 0.0000
0.7500 0.7500 0.7500
0.3760 0.3760 0.3760
0.3760 0.3760 0.8721
0.3760 0.8721 0.3760
0.8721 0.3760 0.3760
```

Properties
* magnetization: 6.5 μB per formula unit
* crystal system: cubic



Stability, descending: <i>, <ii>



<i>
VASP calculation (PBE-GGA) on crystalline Pu2SiSn at its relaxed geometry.

Structure (POSCAR):
```
Pu2SiSn
1.0
4.5631 0.0000 0.0000
0.0000 4.5631 0.0000
0.0000 0.0000 4.4287
Pu Si Sn
2 1 1
Direct
0.0000 0.5000 0.0000
0.5000 0.0000 0.0000
0.0000 0.0000 0.5000
0.5000 0.5000 0.5000
```

Properties
* magnetization: 11.4 μB per formula unit
* crystal system: tetragonal



<ii>
VASP calculation (PBE-GGA) on crystalline Pu2SiSn at its relaxed geometry.

Structure (POSCAR):
```
Pu2SiSn
1.0
3.9203 0.0000 0.0000
0.0000 3.9203 0.0000
0.0000 0.0000 5.9926
Pu Si Sn
2 1 1
Direct
0.0000 0.0000 0.2286
0.0000 0.0000 0.7714
0.5000 0.5000 0.0000
0.5000 0.5000 0.5000
```

Properties
* magnetization: 10.9 μB per formula unit
* crystal system: tetragonal



Stability, descending: <ii>, <i>



<i>
VASP calculation (PBE-GGA) on crystalline Pu2SiSn at its relaxed geometry.

Structure (POSCAR):
```
Pu2SiSn
1.0
3.4342 0.0000 0.0000
-1.7171 2.9741 0.0000
0.0000 0.0000 28.9189
Pu Si Sn
6 3 3
Direct
0.0000 0.0000 0.2392
0.0000 0.0000 0.7608
0.3333 0.6667 0.4274
0.3333 0.6667 0.9059
0.6667 0.3333 0.0941
0.6667 0.3333 0.5726
0.0000 0.0000 0.5000
0.3333 0.6667 0.1667
0.6667 0.3333 0.8333
0.0000 0.0000 0.0000
0.3333 0.6667 0.6667
0.6667 0.3333 0.3333
```

Properties
* magnetization: 10.9 μB per formula unit
* crystal system: trigonal



<ii>
VASP calculation (PBE-GGA) on crystalline Pu2SiSn at its relaxed geometry.

Structure (POSCAR):
```
Pu2SiSn
1.0
7.2503 0.0000 0.0000
0.0000 7.2503 0.0000
0.0000 0.0000 7.2503
Pu Si Sn
8 4 4
Direct
0.2500 0.2500 0.2500
0.2500 0.2500 0.7500
0.2500 0.7500 0.2500
0.2500 0.7500 0.7500
0.7500 0.2500 0.2500
0.7500 0.2500 0.7500
0.7500 0.7500 0.2500
0.7500 0.7500 0.7500
0.0000 0.0000 0.0000
0.0000 0.5000 0.5000
0.5000 0.0000 0.5000
0.5000 0.5000 0.0000
0.0000 0.0000 0.5000
0.0000 0.5000 0.0000
0.5000 0.0000 0.0000
0.5000 0.5000 0.5000
```

Properties
* magnetization: 11.4 μB per formula unit
* crystal system: cubic



Stability, descending: <ii>, <i>



<i>
VASP calculation (PBE-GGA) on crystalline SrPuSi4 at its relaxed geometry.

Structure (POSCAR):
```
SrPuSi4
1.0
7.8555 0.0000 0.0000
0.0000 15.5251 0.0000
0.0000 0.0000 4.3131
Sr Pu Si
4 4 16
Direct
0.1191 0.1526 0.0000
0.3809 0.6526 0.0000
0.6191 0.3474 0.0000
0.8809 0.8474 0.0000
0.1239 0.4149 0.0000
0.3761 0.9149 0.0000
0.6239 0.0851 0.0000
0.8761 0.5851 0.0000
0.0305 0.6945 0.5000
0.1254 0.9571 0.5000
0.1256 0.5468 0.5000
0.2249 0.8090 0.5000
0.2751 0.3090 0.5000
0.3744 0.0468 0.5000
0.3746 0.4571 0.5000
0.4695 0.1945 0.5000
0.5305 0.8055 0.5000
0.6254 0.5429 0.5000
0.6256 0.9532 0.5000
0.7249 0.6910 0.5000
0.7751 0.1910 0.5000
0.8744 0.4532 0.5000
0.8746 0.0429 0.5000
0.9695 0.3055 0.5000
```

Properties
* magnetization: 5.7 μB per formula unit
* crystal system: orthorhombic



<ii>
VASP calculation (PBE-GGA) on crystalline SrPuSi4 at its relaxed geometry.

Structure (POSCAR):
```
SrPuSi4
1.0
0.0000 3.8324 3.8324
3.8324 0.0000 3.8324
3.8324 3.8324 0.0000
Sr Pu Si
1 1 4
Direct
0.0000 0.0000 0.0000
0.2500 0.2500 0.2500
0.1314 0.6229 0.6229
0.6229 0.1314 0.6229
0.6229 0.6229 0.1314
0.6229 0.6229 0.6229
```

Properties
* magnetization: 5.9 μB per formula unit
* crystal system: cubic



Stability, descending: <i>, <ii>



<i>
VASP calculation (PBE-GGA) on crystalline PuTaSi2 at its relaxed geometry.

Structure (POSCAR):
```
PuTaSi2
1.0
3.6988 0.0000 0.0000
-1.8494 3.2033 0.0000
0.0000 0.0000 20.1911
Pu Ta Si
3 3 6
Direct
0.0000 0.0000 0.0000
0.3333 0.6667 0.6667
0.6667 0.3333 0.3333
0.0000 0.0000 0.5000
0.3333 0.6667 0.1667
0.6667 0.3333 0.8333
0.0000 0.0000 0.2400
0.0000 0.0000 0.7600
0.3333 0.6667 0.4267
0.3333 0.6667 0.9066
0.6667 0.3333 0.0934
0.6667 0.3333 0.5733
```

Properties
* magnetization: 5.1 μB per formula unit
* crystal system: trigonal



<ii>
VASP calculation (PBE-GGA) on crystalline PuTaSi2 at its relaxed geometry.

Structure (POSCAR):
```
PuTaSi2
1.0
3.4111 0.0000 0.0000
0.0000 3.4111 0.0000
0.0000 0.0000 6.2040
Pu Ta Si
1 1 2
Direct
0.0000 0.0000 0.0000
0.0000 0.0000 0.5000
0.5000 0.5000 0.3008
0.5000 0.5000 0.6992
```

Properties
* magnetization: 5.6 μB per formula unit
* crystal system: tetragonal



Stability, descending: <ii>, <i>



<i>
VASP calculation (PBE-GGA) on crystalline Tb2PuSi at its relaxed geometry.

Structure (POSCAR):
```
Tb2PuSi
1.0
4.6774 0.0000 0.0000
0.0000 4.6774 0.0000
0.0000 0.0000 4.4359
Tb Pu Si
2 1 1
Direct
0.0000 0.5000 0.0000
0.5000 0.0000 0.0000
0.0000 0.0000 0.5000
0.5000 0.5000 0.5000
```

Properties
* magnetization: 6.3 μB per formula unit
* crystal system: tetragonal



<ii>
VASP calculation (PBE-GGA) on crystalline Tb2PuSi at its relaxed geometry.

Structure (POSCAR):
```
Tb2PuSi
1.0
3.5199 0.0000 0.0000
-1.7599 3.0483 0.0000
0.0000 0.0000 32.0350
Tb Pu Si
6 3 3
Direct
0.0000 0.0000 0.1041
0.0000 0.0000 0.8959
0.3333 0.6667 0.5626
0.3333 0.6667 0.7708
0.6667 0.3333 0.2292
0.6667 0.3333 0.4374
0.0000 0.0000 0.0000
0.3333 0.6667 0.6667
0.6667 0.3333 0.3333
0.0000 0.0000 0.5000
0.3333 0.6667 0.1667
0.6667 0.3333 0.8333
```

Properties
* magnetization: 6.4 μB per formula unit
* crystal system: trigonal



Stability, descending: <i>, <ii>



<i>
VASP calculation (PBE-GGA) on crystalline PuSiTc at its relaxed geometry.

Structure (POSCAR):
```
PuSiTc
1.0
7.1717 0.0000 0.0000
0.0000 5.9063 0.0000
-2.0914 0.0000 5.1893
Pu Si Tc
4 4 4
Direct
0.1789 0.0734 0.2322
0.1789 0.4266 0.7322
0.8211 0.5734 0.2678
0.8211 0.9266 0.7678
0.2240 0.5822 0.2452
0.2240 0.9178 0.7452
0.7760 0.0822 0.2548
0.7760 0.4178 0.7548
0.4905 0.6850 0.6690
0.4905 0.8150 0.1690
0.5095 0.1850 0.8310
0.5095 0.3150 0.3310
```

Properties
* magnetization: 4.5 μB per formula unit
* crystal system: monoclinic



<ii>
VASP calculation (PBE-GGA) on crystalline PuSiTc at its relaxed geometry.

Structure (POSCAR):
```
PuSiTc
1.0
4.3117 0.0000 0.0000
0.0000 4.3117 0.0000
0.0000 0.0000 6.3465
Pu Si Tc
2 2 2
Direct
0.2500 0.2500 0.1871
0.7500 0.7500 0.8129
0.2500 0.2500 0.6975
0.7500 0.7500 0.3025
0.2500 0.7500 0.5000
0.7500 0.2500 0.5000
```

Properties
* magnetization: 5.1 μB per formula unit
* crystal system: tetragonal



Stability, descending: <ii>, <i>